First-principles (PBE-GGA) data for a relaxed structure of Cu2WBr, as listed in Alexandria via LeMat-Bulk.

Values from the calculation:
Total energy   -5.15 eV/atom
DOS at the Fermi energy   4.8 states/eV per cell

a b c (Å): 2.9882 2.9882 26.6776
angles (deg): 90.00 90.00 120.00
Space group R3m (No. 160, hexagonal axes)
Unique sites:
Cu 0.0000 0.0000 0.0000
Cu 0.0000 0.0000 0.2661
W 0.0000 0.0000 0.5224
Br 0.0000 0.0000 0.7821



First-principles (PBE-GGA) data for a relaxed structure of ScBeP, as listed in Alexandria via LeMat-Bulk.

Values from the calculation:
Total energy   -5.56 eV/atom
DOS at the Fermi energy   6.0 states/eV per cell

a b c (Å): 3.752 5.282 9.293
angles (deg): 90.00 90.00 90.00
Space group Fmm2 (No. 42)
Unique sites:
Sc 0.000 0.000 0.000
Be 0.000 0.000 0.701
P 0.000 0.000 0.307